DFT (PBE-GGA) results for an optimized crystal structure of Ta3Tl.

Geometry as extended XYZ:
```
8
Lattice="-3.344 -3.631 0.136 1.322 -1.030 5.009 -4.130 3.873 1.886" Properties=species:S:1:pos:R:3 pbc="T T T"
Ta -1.575 -1.728 4.791
Ta -1.141 1.217 4.444
Ta -2.892 2.744 2.167
Ta -0.839 0.819 1.229
Ta -1.274 -2.126 1.576
Ta -3.652 0.220 5.740
Tl 0.854 -0.665 3.235
Tl -3.269 -0.244 2.785
```

ΔH_f (0 K) ... 0.3844 eV/atom
Symmetry ... Pmmn, No. 59